[1]
Density functional theory data (PBE) for a relaxed NdTc4P2 crystal.

The structure in CIF format:
```
data_NdTc4P2
_space_group_name_H-M_alt 'C m m m'
_space_group_IT_number 65
_space_group_name_Hall '-C 2 2'
_cell_length_a 4.079
_cell_length_b 13.765
_cell_length_c 4.039
_cell_angle_alpha 90.00
_cell_angle_beta 90.00
_cell_angle_gamma 90.00
loop_
_atom_site_label
_atom_site_fract_x
_atom_site_fract_y
_atom_site_fract_z
_atom_site_occupancy
Nd1 0.000 0.000 0.000 1
Tc1 0.000 0.185 0.500 1
Tc2 0.000 0.307 0.000 1
P1 0.000 0.411 0.500 1
```

Values from the calculation:
Crystal system   orthorhombic
Calculated volume   16.195 A^3/atom
VASP energy   -123.86 eV/cell

---

[2]
Density functional theory data (PBE) for a relaxed Nd3TeP2 crystal.

The structure in CIF format:
```
data_Nd3TeP2
_space_group_name_H-M_alt 'P -3 m 1'
_space_group_IT_number 164
_space_group_name_Hall '-P 3 2"'
_cell_length_a 4.2365
_cell_length_b 4.2365
_cell_length_c 10.6920
_cell_angle_alpha 90.00
_cell_angle_beta 90.00
_cell_angle_gamma 120.00
loop_
_atom_site_label
_atom_site_fract_x
_atom_site_fract_y
_atom_site_fract_z
_atom_site_occupancy
Nd1 0.0000 0.0000 0.0000 1
Nd2 0.3333 0.6667 0.3006 1
Te1 0.0000 0.0000 0.5000 1
P1 0.3333 0.6667 0.8416 1
```

Values from the calculation:
Crystal system   trigonal
Calculated volume   27.698 A^3/atom
VASP energy   -37.76 eV/cell

---

[3]
Density functional theory data (PBE) for a relaxed NdTh3P4 crystal.

The structure in CIF format:
```
data_NdTh3P4
_space_group_name_H-M_alt 'P m -3 m'
_space_group_IT_number 221
_space_group_name_Hall '-P 4 2 3'
_cell_length_a 5.862
_cell_length_b 5.862
_cell_length_c 5.862
_cell_angle_alpha 90.00
_cell_angle_beta 90.00
_cell_angle_gamma 90.00
loop_
_atom_site_label
_atom_site_fract_x
_atom_site_fract_y
_atom_site_fract_z
_atom_site_occupancy
Nd1 0.000 0.000 0.000 1
Th1 0.000 0.500 0.500 1
P1 0.000 0.000 0.500 1
P2 0.500 0.500 0.500 1
```

Values from the calculation:
Crystal system   cubic
Calculated volume   25.183 A^3/atom
VASP energy   -61.15 eV/cell

---

[4]
Density functional theory data (PBE) for a relaxed Nd2TmP3 crystal.

The structure in CIF format:
```
data_Nd2TmP3
_space_group_name_H-M_alt 'P -3 m 1'
_space_group_IT_number 164
_space_group_name_Hall '-P 3 2"'
_cell_length_a 4.0947
_cell_length_b 4.0947
_cell_length_c 10.0212
_cell_angle_alpha 90.00
_cell_angle_beta 90.00
_cell_angle_gamma 120.00
loop_
_atom_site_label
_atom_site_fract_x
_atom_site_fract_y
_atom_site_fract_z
_atom_site_occupancy
Nd1 0.3333 0.6667 0.3277 1
Tm1 0.0000 0.0000 0.0000 1
P1 0.0000 0.0000 0.5000 1
P2 0.3333 0.6667 0.8449 1
```

Values from the calculation:
Crystal system   trigonal
Calculated volume   24.251 A^3/atom
VASP energy   -39.53 eV/cell

---

[5]
Density functional theory data (PBE) for a relaxed NdTm2P3 crystal.

The structure in CIF format:
```
data_NdTm2P3
_space_group_name_H-M_alt 'P -3 m 1'
_space_group_IT_number 164
_space_group_name_Hall '-P 3 2"'
_cell_length_a 4.0215
_cell_length_b 4.0215
_cell_length_c 9.8392
_cell_angle_alpha 90.00
_cell_angle_beta 90.00
_cell_angle_gamma 120.00
loop_
_atom_site_label
_atom_site_fract_x
_atom_site_fract_y
_atom_site_fract_z
_atom_site_occupancy
Nd1 0.0000 0.0000 0.0000 1
Tm1 0.3333 0.6667 0.3388 1
P1 0.0000 0.0000 0.5000 1
P2 0.3333 0.6667 0.8216 1
```

Values from the calculation:
Crystal system   trigonal
Calculated volume   22.968 A^3/atom
VASP energy   -39.36 eV/cell

---

[6]
Density functional theory data (PBE) for a relaxed NdU2P3 crystal.

The structure in CIF format:
```
data_NdU2P3
_space_group_name_H-M_alt 'P -3 m 1'
_space_group_IT_number 164
_space_group_name_Hall '-P 3 2"'
_cell_length_a 3.9857
_cell_length_b 3.9857
_cell_length_c 9.9185
_cell_angle_alpha 90.00
_cell_angle_beta 90.00
_cell_angle_gamma 120.00
loop_
_atom_site_label
_atom_site_fract_x
_atom_site_fract_y
_atom_site_fract_z
_atom_site_occupancy
Nd1 0.0000 0.0000 0.0000 1
U1 0.3333 0.6667 0.3391 1
P1 0.0000 0.0000 0.5000 1
P2 0.3333 0.6667 0.8190 1
```

Values from the calculation:
Crystal system   trigonal
Calculated volume   22.743 A^3/atom
VASP energy   -50.44 eV/cell

---

[7]
Density functional theory data (PBE) for a relaxed Nd2YP3 crystal.

The structure in CIF format:
```
data_Nd2YP3
_space_group_name_H-M_alt 'P -3 m 1'
_space_group_IT_number 164
_space_group_name_Hall '-P 3 2"'
_cell_length_a 4.1173
_cell_length_b 4.1173
_cell_length_c 10.0689
_cell_angle_alpha 90.00
_cell_angle_beta 90.00
_cell_angle_gamma 120.00
loop_
_atom_site_label
_atom_site_fract_x
_atom_site_fract_y
_atom_site_fract_z
_atom_site_occupancy
Nd1 0.3333 0.6667 0.3296 1
Y1 0.0000 0.0000 0.0000 1
P1 0.0000 0.0000 0.5000 1
P2 0.3333 0.6667 0.8409 1
```

Values from the calculation:
Crystal system   trigonal
Calculated volume   24.637 A^3/atom
VASP energy   -41.61 eV/cell

---

[8]
Density functional theory data (PBE) for a relaxed NdZn2P3 crystal.

The structure in CIF format:
```
data_NdZn2P3
_space_group_name_H-M_alt 'P -4 m 2'
_space_group_IT_number 115
_cell_length_a 3.963
_cell_length_b 3.963
_cell_length_c 7.202
_cell_angle_alpha 90.00
_cell_angle_beta 90.00
_cell_angle_gamma 90.00
loop_
_space_group_symop_operation_xyz
'x,y,z'
'y,-x,-z'
'-x,-y,z'
'-y,x,-z'
'-x,y,z'
'-y,-x,-z'
'x,-y,z'
'y,x,-z'
loop_
_atom_site_label
_atom_site_fract_x
_atom_site_fract_y
_atom_site_fract_z
_atom_site_occupancy
Nd1 0.000 0.000 0.000 1
Zn1 0.000 0.500 0.644 1
P1 0.000 0.500 0.311 1
P2 0.500 0.500 0.000 1
```

Values from the calculation:
Crystal system   tetragonal
Calculated volume   18.855 A^3/atom
VASP energy   -25.02 eV/cell

---

[9]
Density functional theory data (PBE) for a relaxed NdPa crystal.

The structure in CIF format:
```
data_NdPa
_space_group_name_H-M_alt 'P -6 m 2'
_space_group_IT_number 187
_space_group_name_Hall 'P -6 2'
_cell_length_a 3.3418
_cell_length_b 3.3418
_cell_length_c 5.9546
_cell_angle_alpha 90.00
_cell_angle_beta 90.00
_cell_angle_gamma 120.00
loop_
_atom_site_label
_atom_site_fract_x
_atom_site_fract_y
_atom_site_fract_z
_atom_site_occupancy
Nd1 0.0000 0.0000 0.0000 1
Pa1 0.6667 0.3333 0.5000 1
```

Values from the calculation:
Crystal system   hexagonal
Offset from the most stable computed form   0 kJ/mol of formula units
Calculated volume   28.795 A^3/atom
Energy relative to the elements   273 meV per atom

---

[10]
Density functional theory data (PBE) for a relaxed NdPa crystal.

The structure in CIF format:
```
data_NdPa
_space_group_name_H-M_alt 'F m -3 m'
_space_group_IT_number 225
_space_group_name_Hall '-F 4 2 3'
_cell_length_a 6.150
_cell_length_b 6.150
_cell_length_c 6.150
_cell_angle_alpha 90.00
_cell_angle_beta 90.00
_cell_angle_gamma 90.00
loop_
_atom_site_label
_atom_site_fract_x
_atom_site_fract_y
_atom_site_fract_z
_atom_site_occupancy
Nd1 0.000 0.000 0.000 1
Pa1 0.000 0.000 0.500 1
```

Values from the calculation:
Crystal system   cubic
Offset from the most stable computed form   165 kJ/mol of formula units
Calculated volume   29.083 A^3/atom
Energy relative to the elements   1129 meV per atom

---

[11]
Density functional theory data (PBE) for a relaxed NdPa crystal.

The structure in CIF format:
```
data_NdPa
_space_group_name_H-M_alt 'F -4 3 m'
_space_group_IT_number 216
_space_group_name_Hall 'F -4 2 3'
_cell_length_a 6.441
_cell_length_b 6.441
_cell_length_c 6.441
_cell_angle_alpha 90.00
_cell_angle_beta 90.00
_cell_angle_gamma 90.00
loop_
_atom_site_label
_atom_site_fract_x
_atom_site_fract_y
_atom_site_fract_z
_atom_site_occupancy
Nd1 0.000 0.000 0.000 1
Pa1 0.250 0.250 0.750 1
```

Values from the calculation:
Crystal system   cubic
Offset from the most stable computed form   325 kJ/mol of formula units
Calculated volume   33.402 A^3/atom
Energy relative to the elements   1956 meV per atom

---

[12]
Density functional theory data (PBE) for a relaxed PrNdPa crystal.

The structure in CIF format:
```
data_PrNdPa
_space_group_name_H-M_alt 'F -4 3 m'
_space_group_IT_number 216
_space_group_name_Hall 'F -4 2 3'
_cell_length_a 7.445
_cell_length_b 7.445
_cell_length_c 7.445
_cell_angle_alpha 90.00
_cell_angle_beta 90.00
_cell_angle_gamma 90.00
loop_
_atom_site_label
_atom_site_fract_x
_atom_site_fract_y
_atom_site_fract_z
_atom_site_occupancy
Pr1 0.000 0.000 0.000 1
Nd1 0.250 0.250 0.750 1
Pa1 0.250 0.250 0.250 1
```

Values from the calculation:
Crystal system   cubic
Offset from the most stable computed form   0 kJ/mol of formula units
Calculated volume   34.383 A^3/atom
Energy relative to the elements   1074 meV per atom